No. 1
The following is a PBE calculation of an optimized crystal structure of SmYHo, from the Alexandria database.

Computed properties:
* energy above the lowest structure with this stoichiometry: 0.200 eV per atom
* E_form: 0.626 eV/f.u.
* E_tot: -30.27 eV/cell

Cell lengths 4.8386, 4.8386, 8.6723 Å; angles 90.00, 90.00, 90.00 degrees
Element x y z (fractional)
Sm 0.2500 0.2500 0.2011
Sm 0.7500 0.7500 0.7989
Y 0.2500 0.2500 0.8025
Y 0.7500 0.7500 0.1975
Ho 0.2500 0.7500 0.5000
Ho 0.7500 0.2500 0.5000

=====

No. 2
The following is a PBE calculation of an optimized crystal structure of RbCrCl3, from the Alexandria database.

Computed properties:
* E_form (uncorrected): -1.062 eV/atom
* E_tot: -42.88 eV/cell

Cell lengths 9.5092, 9.5092, 8.6477 Å; angles 95.21, 95.21, 21.44 degrees
Element x y z (fractional)
Rb 0.1655 0.1655 0.1325
Rb 0.8345 0.8345 0.8675
Cr 0.4594 0.4594 0.4153
Cr 0.5406 0.5406 0.5847
Cl 0.0083 0.0083 0.7524
Cl 0.1158 0.1158 0.5079
Cl 0.3323 0.3323 0.1582
Cl 0.6677 0.6677 0.8418
Cl 0.8842 0.8842 0.4921
Cl 0.9917 0.9917 0.2476

=====

No. 3
The following is a PBE calculation of an optimized crystal structure of V2FeGe, from the Alexandria database.

Computed properties:
* E_form: -1.203 eV/f.u.
* E_tot: -65.04 eV/cell

Cell lengths 4.6175, 4.6659, 4.6659 Å; angles 90.01, 90.00, 90.00 degrees
Element x y z (fractional)
V 0.0000 0.0000 0.0000
V 0.2500 0.7424 0.5095
V 0.5000 0.0000 0.0000
V 0.7500 0.5095 0.7424
Fe 0.2500 0.2517 0.5107
Fe 0.7500 0.5107 0.2517
Ge 0.2500 0.4978 0.0125
Ge 0.7500 0.0125 0.4978

=====

No. 4
The following is a PBE calculation of an optimized crystal structure of TePt2Br, from the Alexandria database.

Computed properties:
* E_form (uncorrected): 0.327 eV/atom
* energy above the lowest structure with this stoichiometry: 0.543 eV per atom
* E_tot: -15.59 eV/cell

Cell lengths 3.5210, 3.5210, 6.7688 Å; angles 90.00, 90.00, 90.00 degrees
Element x y z (fractional)
Te 0.0000 0.0000 0.0000
Pt 0.5000 0.5000 0.2072
Pt 0.5000 0.5000 0.7928
Br 0.0000 0.0000 0.5000

=====

- Among the records above, which one has the lowest E_tot?
  V2FeGe